Here is a geometry-optimized NdEuTmLu structure from Alexandria via LeMat-Bulk. Energies are from GGA-PBE.

**Symmetry**: F-43m
**Energy of formation from the pure elements**: 137 meV per atom
**DOS(E_F)**: 1.51 states/eV/atom

a b c (Å): 5.7325 5.7325 5.7325
angles (deg): 60.00 60.00 60.00
Last column: nearest neighbours and their distance in Å.
Positions (direct):
Eu (0.5000, 0.5000, 0.5000)  4 Lu 3.51, 4 Tm 3.51
Tm (0.7500, 0.7500, 0.7500)  4 Nd 3.51, 4 Eu 3.51
Lu (0.2500, 0.2500, 0.2500)  4 Nd 3.51, 4 Eu 3.51
Nd (0.0000, 0.0000, 0.0000)  4 Tm 3.51, 4 Lu 3.51